## GaCoPbF6 (GGA+U)

Data for an optimized crystal structure of GaCoPbF6.

Summary:
- E_tot (eV per atom) = -4.744
- mass density (g/cm³) = 5.46

Unit cell a=5.5320 b=5.5320 c=10.3248 alpha=90.00 beta=90.00 gamma=120.00
Element x y z (fractional)
Ga 0.3333 0.6667 0.2500
Ga 0.6667 0.3333 0.7500
Co 0.3333 0.6667 0.7500
Co 0.6667 0.3333 0.2500
Pb 0.0000 0.0000 0.0000
Pb 0.0000 0.0000 0.5000
F 0.0396 0.3823 0.1446
F 0.0396 0.6573 0.3554
F 0.3427 0.3823 0.3554
F 0.3427 0.9604 0.1446
F 0.3823 0.0396 0.6446
F 0.3823 0.3427 0.8554
F 0.6177 0.6573 0.1446
F 0.6177 0.9604 0.3554
F 0.6573 0.0396 0.8554
F 0.6573 0.6177 0.6446
F 0.9604 0.3427 0.6446
F 0.9604 0.6177 0.8554